Record 1
A plane-wave DFT calculation with PBE was carried out for an optimized crystal structure of ReP2Au.

The structure in CIF format:
```
data_ReP2Au
_chemical_formula_sum 'Re3 P6 Au3'
_space_group_name_H-M_alt 'R 3 m'
_space_group_IT_number 160
_space_group_name_Hall 'R 3 -2"'
_cell_length_a 3.1166
_cell_length_b 3.1166
_cell_length_c 21.8976
_cell_angle_alpha 90.00
_cell_angle_beta 90.00
_cell_angle_gamma 120.00
loop_
_atom_site_label
_atom_site_fract_x
_atom_site_fract_y
_atom_site_fract_z
Re1 0.0000 0.0000 0.0000
P1 0.0000 0.0000 0.2622
P2 0.0000 0.0000 0.5184
Au1 0.0000 0.0000 0.7720
```

Output
The calculation puts the density at 12.038 g/cm³. The crystal system is trigonal. The value obtained for the electronic total energy is -76.31 eV for the cell shown. The magnetization is 0.00 μB per formula unit. As for the energy of formation: 1.1 eV per formula unit. The value obtained for the offset from the most stable computed form is 309.5 meV per atom.

***

Record 2
A plane-wave DFT calculation with PBE was carried out for an optimized crystal structure of Re2PAu.

The structure in CIF format:
```
data_Re2PAu
_chemical_formula_sum 'Re2 P1 Au1'
_space_group_name_H-M_alt 'P 4 m m'
_space_group_IT_number 99
_cell_length_a 2.9129
_cell_length_b 2.9129
_cell_length_c 7.2975
_cell_angle_alpha 90.00
_cell_angle_beta 90.00
_cell_angle_gamma 90.00
loop_
_space_group_symop_operation_xyz
'x,y,z'
'-y,x,z'
'-x,-y,z'
'y,-x,z'
'-x,y,z'
'y,x,z'
'x,-y,z'
'-y,-x,z'
loop_
_atom_site_label
_atom_site_fract_x
_atom_site_fract_y
_atom_site_fract_z
Re1 0.0000 0.0000 0.0000
Re2 0.5000 0.5000 0.2400
P1 0.5000 0.5000 0.8058
Au1 0.0000 0.0000 0.5206
```

Output
The calculation puts the density at 16.101 g/cm³. The crystal system is tetragonal. The value obtained for the electronic total energy is -32.76 eV for the cell shown. The magnetization is 0.00 μB per formula unit. As for the energy of formation: 0.8 eV per formula unit.

***

Record 3
A plane-wave DFT calculation with PBE was carried out for an optimized crystal structure of RePAu2.

The structure in CIF format:
```
data_RePAu2
_chemical_formula_sum 'Re4 P4 Au8'
_space_group_name_H-M_alt 'I -4 2 d'
_space_group_IT_number 122
_space_group_name_Hall 'I -4 2bw'
_cell_length_a 7.3871
_cell_length_b 7.3871
_cell_length_c 5.0315
_cell_angle_alpha 90.00
_cell_angle_beta 90.00
_cell_angle_gamma 90.00
loop_
_atom_site_label
_atom_site_fract_x
_atom_site_fract_y
_atom_site_fract_z
Re1 0.0000 0.0000 0.0000
P1 0.0000 0.0000 0.5000
Au1 0.2194 0.2500 0.6250
```

Output
The calculation puts the density at 14.784 g/cm³. The crystal system is tetragonal. The value obtained for the electronic total energy is -87.67 eV for the cell shown. The magnetization is 1.03 μB per formula unit. As for the energy of formation: 2.5 eV per formula unit.

***

Record 4
A plane-wave DFT calculation with PBE was carried out for an optimized crystal structure of Re2PAu.

The structure in CIF format:
```
data_Re2PAu
_chemical_formula_sum 'Re4 P2 Au2'
_space_group_name_H-M_alt 'I m m m'
_space_group_IT_number 71
_space_group_name_Hall '-I 2 2'
_cell_length_a 2.9186
_cell_length_b 4.4579
_cell_length_c 9.3191
_cell_angle_alpha 90.00
_cell_angle_beta 90.00
_cell_angle_gamma 90.00
loop_
_atom_site_label
_atom_site_fract_x
_atom_site_fract_y
_atom_site_fract_z
Re1 0.0000 0.0000 0.2044
P1 0.0000 0.5000 0.5000
Au1 0.0000 0.5000 0.0000
```

Output
The calculation puts the density at 16.444 g/cm³. The crystal system is orthorhombic. The value obtained for the electronic total energy is -64.95 eV for the cell shown. The magnetization is 0.00 μB per formula unit. As for the energy of formation: 1.1 eV per formula unit.

***

Question: Number 3 is which compound?
Answer: RePAu2